[1]
Compound: K2AcAs2O6
Source: Alexandria via LeMat-Bulk
Functional: PBE
Structure: relaxed

Calculated values
Symmetry: C2/m, No. 12
DOS at the Fermi energy, states/eV/cell: 0.678
Energy relative to the elements, uncorrected, meV per atom: -1915
Total moment, μB/f.u.: 1.03

Lattice parameters (Å, degrees): 6.2194 5.9445 7.5292 112.90 90.00 121.54
Last column: nearest neighbours and their distance in Å.
Fractional coordinates of all 11 atoms:
O  0.2692  0.0832  0.7680  1 As 1.77
O  0.2318  0.4637  0.4225  1 As 1.76
O  0.7682  0.5363  0.5775  1 As 1.76
O  0.1861  0.9168  0.2320  1 As 1.77
O  0.8139  0.0832  0.7680  1 As 1.77
O  0.7308  0.9168  0.2320  1 As 1.77
As  0.9437  0.8874  0.7877  3 O 1.76-1.77
As  0.0563  0.1126  0.2123  3 O 1.76-1.77
K  0.7026  0.4052  0.1609  3 O 2.78-2.89
K  0.2974  0.5948  0.8391  3 O 2.78-2.89
Ac  0.5000  0.0000  0.5000  6 O 2.51-2.52

[2]
Compound: Ca5Cr2N6
Source: Alexandria via LeMat-Bulk
Functional: PBE
Structure: relaxed

Calculated values
Symmetry: Pbam, No. 55
Distance to the lowest polymorph of the same formula, eV per atom: 0.0989
DOS at the Fermi energy, states/eV/cell: 11.379
Energy relative to the elements, uncorrected, meV per atom: -746
Total moment, μB/f.u.: 4.00

Lattice parameters (Å, degrees): 3.3520 10.0347 11.4102 90.00 90.00 90.00
Last column: nearest neighbours and their distance in Å.
Fractional coordinates of all 26 atoms:
N  0.5000  0.7760  0.3096  2 Cr 1.91
N  0.0000  0.8663  0.6168  1 Cr 1.92
N  0.0000  0.6337  0.1168  1 Cr 1.92
N  0.0000  0.9179  0.1330  1 Cr 1.81
N  0.5000  0.2760  0.1904  2 Cr 1.91
N  0.0000  0.0821  0.8670  1 Cr 1.81
N  0.0000  0.3663  0.8832  1 Cr 1.92
N  0.5000  0.7240  0.8096  2 Cr 1.91
N  0.0000  0.1337  0.3832  1 Cr 1.92
N  0.0000  0.5821  0.6330  1 Cr 1.81
N  0.5000  0.2240  0.6904  2 Cr 1.91
N  0.0000  0.4179  0.3670  1 Cr 1.81
Ca  0.5000  0.8071  0.0170  5 N 2.41-2.67
Ca  0.5000  0.9701  0.7583  5 N 2.37-2.55
Ca  0.5000  0.3071  0.4830  5 N 2.41-2.67
Ca  0.5000  0.1929  0.9830  5 N 2.41-2.67
Ca  0.5000  0.4701  0.7417  5 N 2.37-2.55
Ca  0.5000  0.5299  0.2583  5 N 2.37-2.55
Ca  0.5000  0.6929  0.5170  5 N 2.41-2.67
Ca  0.5000  0.0299  0.2417  5 N 2.37-2.55
Ca  0.5000  0.0000  0.5000  4 N 2.53
Ca  0.5000  0.5000  0.0000  4 N 2.53
Cr  0.0000  0.7249  0.7298  4 N 1.81-1.92
Cr  0.0000  0.2751  0.2702  4 N 1.81-1.92
Cr  0.0000  0.2249  0.7702  4 N 1.81-1.92
Cr  0.0000  0.7751  0.2298  4 N 1.81-1.92

[3]
Compound: SrLiCl2
Source: Alexandria via LeMat-Bulk
Functional: PBE
Structure: relaxed

Calculated values
Symmetry: Fm-3m, No. 225
Distance to the lowest polymorph of the same formula, eV per atom: 0.2324
DOS at the Fermi energy, states/eV/cell: 1.828
Energy relative to the elements, uncorrected, meV per atom: -1416
Total moment, μB/f.u.: 0.81

Lattice parameters (Å, degrees): 5.2008 5.2008 5.2008 60.00 60.00 60.00
Last column: nearest neighbours and their distance in Å.
Fractional coordinates of all 4 atoms:
Cl  0.2500  0.2500  0.2500  4 Li 3.18, 4 Sr 3.18
Cl  0.7500  0.7500  0.7500  4 Li 3.18, 4 Sr 3.18
Li  0.0000  0.0000  0.0000  8 Cl 3.18
Sr  0.5000  0.5000  0.5000  8 Cl 3.18

[4]
Compound: Li2UAgS4
Source: Alexandria via LeMat-Bulk
Functional: PBE
Structure: relaxed

Calculated values
Symmetry: P2/m, No. 10
DOS at the Fermi energy, states/eV/cell: 4.594
Energy relative to the elements, uncorrected, meV per atom: -1066
Total moment, μB/f.u.: 1.00

Lattice parameters (Å, degrees): 3.9214 6.3302 6.5354 107.67 90.00 90.00
Last column: nearest neighbours and their distance in Å.
Fractional coordinates of all 8 atoms:
Li  0.0000  0.5000  0.5000  6 S 2.55-2.67
Li  0.5000  0.0000  0.5000  6 S 2.65-2.76
S  0.0000  0.7389  0.2482  3 Li 2.55-2.76, 1 Ag 2.64, 2 U 2.70
S  0.5000  0.2670  0.2564  1 U 2.55, 3 Li 2.65-2.67, 2 Ag 2.79
S  0.5000  0.7330  0.7436  1 U 2.55, 3 Li 2.65-2.67, 2 Ag 2.79
S  0.0000  0.2611  0.7518  3 Li 2.55-2.76, 1 Ag 2.64, 2 U 2.70
U  0.5000  0.5000  0.0000  6 S 2.55-2.70
Ag  0.0000  0.0000  0.0000  6 S 2.64-2.79

[5]
Compound: BC2
Source: Alexandria via LeMat-Bulk
Functional: PBE
Structure: relaxed

Calculated values
Symmetry: C2/m, No. 12
E_form, eV/atom: 0.400
Distance to the lowest polymorph of the same formula, eV per atom: 0.1605
DOS at the Fermi energy, states/eV/cell: 1.457
Total moment, μB/f.u.: 0.00

Lattice parameters (Å, degrees): 4.4997 4.4997 4.6476 98.34 98.34 121.79
Last column: nearest neighbours and their distance in Å.
Fractional coordinates of all 12 atoms:
B  0.0665  0.7456  0.1566  2 C 1.57-1.60, 1 B 1.72
B  0.6294  0.3085  0.9684  2 C 1.57-1.60, 1 B 1.72
B  0.3085  0.6294  0.9684  2 C 1.57-1.60, 1 B 1.72
B  0.7456  0.0665  0.1566  2 C 1.57-1.60, 1 B 1.72
C  0.8764  0.8764  0.6294  4 C 1.58-1.59
C  0.3808  0.3808  0.1382  2 C 1.59-1.63, 2 B 1.60
C  0.8361  0.1679  0.5091  3 C 1.55-1.58, 1 B 1.57
C  0.9942  0.9942  0.9868  2 C 1.59-1.63, 2 B 1.60
C  0.1679  0.8361  0.5091  3 C 1.55-1.58, 1 B 1.57
C  0.2071  0.5389  0.6159  3 C 1.55-1.58, 1 B 1.57
C  0.4986  0.4986  0.4956  4 C 1.58-1.59
C  0.5389  0.2071  0.6159  3 C 1.55-1.58, 1 B 1.57

[6]
Compound: Y2Zn2Ir
Source: Alexandria via LeMat-Bulk
Functional: PBE
Structure: relaxed

Calculated values
Symmetry: P4/mbm, No. 127
E_form, eV/atom: 0.001
Distance to the lowest polymorph of the same formula, eV per atom: 0.5306
DOS at the Fermi energy, states/eV/cell: 8.928
Total moment, μB/f.u.: 0.00

Lattice parameters (Å, degrees): 7.3437 7.3437 4.4649 90.00 90.00 90.00
Last column: nearest neighbours and their distance in Å.
Fractional coordinates of all 10 atoms:
Y  0.1703  0.3297  0.0000  2 Ir 2.73, 2 Zn 3.05
Y  0.6703  0.1703  0.0000  2 Ir 2.73, 2 Zn 3.05
Y  0.8297  0.6703  0.0000  2 Ir 2.73, 2 Zn 3.05
Y  0.3297  0.8297  0.0000  2 Ir 2.73, 2 Zn 3.05
Zn  0.8707  0.3707  0.5000  1 Zn 2.69
Zn  0.1293  0.6293  0.5000  1 Zn 2.69
Zn  0.6293  0.8707  0.5000  1 Zn 2.69
Zn  0.3707  0.1293  0.5000  1 Zn 2.69
Ir  0.5000  0.5000  0.0000  4 Y 2.73
Ir  0.0000  0.0000  0.0000  4 Y 2.73

[7]
Compound: BaP2N2
Source: Alexandria via LeMat-Bulk
Functional: PBE
Structure: relaxed

Calculated values
Symmetry: P4/mbm, No. 127
Distance to the lowest polymorph of the same formula, eV per atom: 0.0000
DOS at the Fermi energy, states/eV/cell: 3.399
Energy relative to the elements, uncorrected, meV per atom: 861
Total moment, μB/f.u.: 0.44

Lattice parameters (Å, degrees): 7.1243 7.1243 3.2798 90.00 90.00 90.00
Last column: nearest neighbours and their distance in Å.
Fractional coordinates of all 10 atoms:
P  0.9009  0.4009  0.5000  1 P 2.00
P  0.4009  0.0991  0.5000  1 P 2.00
P  0.0991  0.5991  0.5000  1 P 2.00
P  0.5991  0.9009  0.5000  1 P 2.00
N  0.8765  0.6235  0.0000  4 P 2.29, 1 N 2.49
N  0.6235  0.1235  0.0000  4 P 2.29, 1 N 2.49
N  0.1235  0.3765  0.0000  4 P 2.29, 1 N 2.49
N  0.3765  0.8765  0.0000  4 P 2.29, 1 N 2.49
Ba  0.0000  0.0000  0.0000  4 N 2.82
Ba  0.5000  0.5000  0.0000  4 N 2.82

[8]
Compound: Ti6SnW2
Source: Alexandria via LeMat-Bulk
Functional: PBE
Structure: relaxed

Calculated values
Symmetry: Immm, No. 71
E_form, eV/atom: 0.156
DOS at the Fermi energy, states/eV/cell: 23.151
Total moment, μB/f.u.: 0.00

Lattice parameters (Å, degrees): 7.6066 7.6066 7.6066 102.28 112.56 113.81
Last column: nearest neighbours and their distance in Å.
Fractional coordinates of all 18 atoms:
Ti  0.7944  0.2478  0.0421  2 W 2.59-2.70
Ti  0.2056  0.2478  0.4534  2 W 2.59-2.70
Ti  0.7944  0.7522  0.5466  2 W 2.59-2.70
Ti  0.4916  0.2972  0.1944  3 W 2.71-2.73, 1 Sn 2.96
Ti  0.7098  0.0495  0.3398  3 W 2.57-2.72, 1 Sn 2.86
Ti  0.2056  0.7522  0.9579  2 W 2.59-2.70
Ti  0.7098  0.3700  0.6602  3 W 2.57-2.72, 1 Sn 2.86
Ti  0.8972  0.7028  0.1944  3 W 2.71-2.73, 1 Sn 2.96
Ti  0.2902  0.9505  0.6602  3 W 2.57-2.72, 1 Sn 2.86
Ti  0.1028  0.2972  0.8056  3 W 2.71-2.73, 1 Sn 2.96
Ti  0.2902  0.6300  0.3398  3 W 2.57-2.72, 1 Sn 2.86
Ti  0.5084  0.7028  0.8056  3 W 2.71-2.73, 1 Sn 2.96
Sn  0.0000  0.5000  0.5000  12 Ti 2.86-3.08
Sn  0.0000  0.0000  0.0000  2 W 2.80, 8 Ti 2.93-2.96
W  0.5000  0.3584  0.8584  8 Ti 2.57-2.71, 1 W 2.70
W  0.5000  0.6416  0.1416  8 Ti 2.57-2.71, 1 W 2.70
W  0.6683  0.0000  0.6683  8 Ti 2.59-2.73, 1 Sn 2.80, 1 W 2.84
W  0.3317  0.0000  0.3317  8 Ti 2.59-2.73, 1 Sn 2.80, 1 W 2.84